1.
# PBE ZnAgPt2, optimized geometry
# DFT formation energy ... -291 meV/atom
# Total magnetic moment ... 0.00 μB per cell
# Energy ... -4.34 eV per atom
data_ZnAgPt2
_space_group_name_H-M_alt 'P 4/m m m'
_space_group_IT_number 123
_space_group_name_Hall '-P 4 2'
_cell_length_a 2.855
_cell_length_b 2.855
_cell_length_c 7.656
_cell_angle_alpha 90.00
_cell_angle_beta 90.00
_cell_angle_gamma 90.00
loop_
_atom_site_label
_atom_site_fract_x
_atom_site_fract_y
_atom_site_fract_z
_atom_site_occupancy
Zn1 0.000 0.000 0.000 1
Ag1 0.000 0.000 0.500 1
Pt1 0.500 0.500 0.227 1

***

2.
# PBE Ho3Cu2Pt5, optimized geometry
# DFT formation energy ... -937 meV/atom
# Total magnetic moment ... 0.00 μB per cell
# Energy ... -6.15 eV per atom
data_Ho3Cu2Pt5
_space_group_name_H-M_alt 'P 4/m b m'
_space_group_IT_number 127
_space_group_name_Hall '-P 4 2ab'
_cell_length_a 9.540
_cell_length_b 9.540
_cell_length_c 3.972
_cell_angle_alpha 90.00
_cell_angle_beta 90.00
_cell_angle_gamma 90.00
loop_
_atom_site_label
_atom_site_fract_x
_atom_site_fract_y
_atom_site_fract_z
_atom_site_occupancy
Ho1 0.000 0.000 0.000 1
Ho2 0.175 0.325 0.000 1
Cu1 0.119 0.619 0.000 1
Pt1 0.000 0.500 0.500 1
Pt2 0.073 0.788 0.500 1

***

3.
# PBE Ca2LaRe, optimized geometry
# E above lowest polymorph ... 1.33 eV per formula unit
# DFT formation energy ... 738 meV/atom
# Total magnetic moment ... 0.00 μB per cell
# Energy ... -4.61 eV per atom
data_Ca2LaRe
_space_group_name_H-M_alt 'F m -3 m'
_space_group_IT_number 225
_space_group_name_Hall '-F 4 2 3'
_cell_length_a 7.479
_cell_length_b 7.479
_cell_length_c 7.479
_cell_angle_alpha 90.00
_cell_angle_beta 90.00
_cell_angle_gamma 90.00
loop_
_atom_site_label
_atom_site_fract_x
_atom_site_fract_y
_atom_site_fract_z
_atom_site_occupancy
Ca1 0.250 0.250 0.250 1
La1 0.000 0.000 0.000 1
Re1 0.000 0.000 0.500 1

***

4.
# PBE La3TbPm6, optimized geometry
# DFT formation energy ... 174 meV/atom
# Total magnetic moment ... 0.00 μB per cell
# Energy ... -4.62 eV per atom
data_La3TbPm6
_space_group_name_H-M_alt 'C m c 21'
_space_group_IT_number 36
_cell_length_a 13.513
_cell_length_b 16.480
_cell_length_c 6.369
_cell_angle_alpha 90.00
_cell_angle_beta 90.00
_cell_angle_gamma 90.00
loop_
_space_group_symop_operation_xyz
'x,y,z'
'-x,-y,z+1/2'
'-x,y,z'
'x,-y,z+1/2'
'x+1/2,y+1/2,z'
'-x+1/2,-y+1/2,z+1/2'
'-x+1/2,y+1/2,z'
'x+1/2,-y+1/2,z+1/2'
loop_
_atom_site_label
_atom_site_fract_x
_atom_site_fract_y
_atom_site_fract_z
_atom_site_occupancy
La1 0.000 0.134 0.000 1
La2 0.208 0.427 0.631 1
Tb1 0.000 0.345 0.899 1
Pm1 0.000 0.241 0.466 1
Pm2 0.000 0.439 0.347 1
Pm3 0.120 0.060 0.518 1
Pm4 0.225 0.289 0.183 1